## Li5DyAg6 (PBE-GGA)

Data for an optimized crystal structure of Li5DyAg6.

Energy above the lowest structure with this stoichiometry in eV/atom: 0.000

Unit cell a=4.7198 b=6.4624 c=8.0319 alpha=113.72 beta=107.09 gamma=90.00
Sites, in units of the cell vectors:
1 Ag 0.8234 0.5603 0.6469
2 Ag 0.1765 0.9134 0.3531
3 Li 0.0000 0.5000 0.0000
4 Ag 0.1766 0.4397 0.3531
5 Li 0.3387 0.8387 0.6773
6 Ag 0.8235 0.0866 0.6469
7 Li 0.6679 0.6679 0.3357
8 Ag 0.5000 0.7228 0.0000
9 Ag 0.5000 0.2772 0.0000
10 Dy 0.0000 0.0000 0.0000
11 Li 0.6613 0.1613 0.3227
12 Li 0.3321 0.3321 0.6643

---

## Y6As2PS3 (PBE-GGA)

Data for an optimized crystal structure of Y6As2PS3.

Total energy in eV per atom: -7.320

Unit cell a=4.0141 b=8.0061 c=8.9669 alpha=102.75 beta=102.93 gamma=90.00
Sites, in units of the cell vectors:
1 Y 0.3365 0.9199 0.6731
2 S 0.1674 0.8337 0.3348
3 Y 0.9994 0.2416 0.9987
4 S 0.5000 0.5000 0.0000
5 As 0.8333 0.6665 0.6665
6 Y 0.3344 0.4158 0.6688
7 Y 0.6635 0.0801 0.3269
8 Y 0.6656 0.5842 0.3312
9 As 0.1667 0.3335 0.3335
10 S 0.8326 0.1663 0.6652
11 Y 0.0006 0.7584 0.0013
12 P 0.5000 0.0000 0.0000